# 1
BaCa2: optimized geometry, GGA-PBEsol.

Output
Space-group type   Fd-3m (227)
Energy   -0.1551 Ry per atom
Excess energy over the best structure of this formula in the dataset   0.002 eV per atom

Structure (POSCAR):
```
BaCa2
1.0
7.4627 0.0000 0.0000
3.7313 6.4629 0.0000
3.7313 2.1543 6.0932
Ca Ba
4 2
direct
0.1250 0.6250 0.1250
0.6250 0.1250 0.1250
0.1250 0.1250 0.6250
0.1250 0.1250 0.1250
0.7500 0.7500 0.7500
0.5000 0.5000 0.5000
```

---

# 2
Ba2Ca: optimized geometry, GGA-PBEsol.

Output
Space-group type   P-62m (189)
Energy   -0.1542 Ry per atom
Excess energy over the best structure of this formula in the dataset   0.020 eV per atom

Structure (POSCAR):
```
Ba2Ca
1.0
-1.4100 -0.7396 -3.7705
-0.5271 -11.2327 2.4005
-9.0737 6.7531 2.0684
Ba Ca
6 3
direct
0.0000 0.0000 0.3087
0.5000 0.6433 0.0000
0.5000 0.0000 0.6433
0.0000 0.6913 0.6913
0.0000 0.3087 0.0000
0.5000 0.3567 0.3567
0.5000 0.0000 0.0000
0.0000 0.3333 0.6667
0.0000 0.6667 0.3333
```

---

# 3
Ba2Ca: optimized geometry, GGA-PBEsol.

Output
Space-group type   I4/mcm (140)
Energy   -0.1498 Ry per atom
Excess energy over the best structure of this formula in the dataset   0.079 eV per atom

Structure (POSCAR):
```
Ba2Ca
1.0
7.3694 0.0000 0.0000
3.6847 6.7522 0.0000
3.6847 0.0000 6.7522
Ca Ba
2 4
direct
0.2500 0.0000 0.0000
0.7500 0.0000 0.0000
0.8405 0.5000 0.8190
0.1595 0.5000 0.1810
0.3405 0.8190 0.5000
0.6595 0.1810 0.5000
```

---

# 4
Ba2Ca: optimized geometry, GGA-PBEsol.

Output
Space-group type   Fd-3m (227)
Energy   -0.1528 Ry per atom
Excess energy over the best structure of this formula in the dataset   0.039 eV per atom

Structure (POSCAR):
```
Ba2Ca
1.0
-1.6235 4.8556 11.2172
6.6933 -4.0870 9.5149
8.7279 7.1782 4.9330
Ca Ba
8 16
direct
0.3315 0.3315 0.0054
0.3315 0.0054 0.3315
0.3315 0.3315 0.3315
0.9185 0.9185 0.9185
0.0054 0.3315 0.3315
0.2446 0.9185 0.9185
0.9185 0.9185 0.2446
0.9185 0.2446 0.9185
0.1250 0.6250 0.1250
0.9433 0.9433 0.5567
0.5567 0.9433 0.9433
0.5567 0.9433 0.5567
0.6933 0.6933 0.3067
0.1250 0.1250 0.1250
0.3067 0.6933 0.6933
0.9433 0.5567 0.5567
0.3067 0.3067 0.6933
0.5567 0.5567 0.9433
0.6250 0.1250 0.1250
0.6933 0.3067 0.3067
0.6933 0.3067 0.6933
0.1250 0.1250 0.6250
0.9433 0.5567 0.9433
0.3067 0.6933 0.3067
```

---

# 5
Ba3Ca: optimized geometry, GGA-PBEsol.

Output
Space-group type   Pm-3m (221)
Energy   -0.1545 Ry per atom
Excess energy over the best structure of this formula in the dataset   0.024 eV per atom

Structure (POSCAR):
```
Ba3Ca
1.0
6.0123 0.0000 0.0000
0.0000 6.0123 0.0000
0.0000 0.0000 6.0123
Ca Ba
1 3
direct
0.0000 0.0000 0.0000
0.0000 0.5000 0.5000
0.5000 0.5000 0.0000
0.5000 0.0000 0.5000
```

---

# 6
Ba4Ca5: optimized geometry, GGA-PBEsol.

Output
Space-group type   P6_3/mcm (193)
Energy   -0.1522 Ry per atom
Excess energy over the best structure of this formula in the dataset   0.034 eV per atom

Structure (POSCAR):
```
Ba4Ca5
1.0
7.7562 0.0000 0.0000
0.0000 11.3037 0.0000
0.0000 -5.6518 9.7893
Ba Ca
8 10
direct
0.2500 0.6767 0.0000
0.2500 0.3233 0.3233
0.7500 0.0000 0.3233
0.2500 0.0000 0.6767
0.7500 0.6767 0.6767
0.0000 0.0000 0.0000
0.7500 0.3233 0.0000
0.5000 0.0000 0.0000
0.2500 0.6508 0.6508
0.7500 0.0000 0.6508
0.2500 0.0000 0.3492
0.2500 0.3492 0.0000
0.0000 0.6667 0.3333
0.7500 0.3492 0.3492
0.5000 0.3333 0.6667
0.5000 0.6667 0.3333
0.0000 0.3333 0.6667
0.7500 0.6508 0.0000
```

---

# 7
BaCa: optimized geometry, GGA-PBEsol.

Output
Space-group type   P6_3/mmc (194)
Energy   -0.1537 Ry per atom
Excess energy over the best structure of this formula in the dataset   0.032 eV per atom

Structure (POSCAR):
```
BaCa
1.0
4.0664 0.0000 0.0000
-2.0332 3.5216 0.0000
0.0000 0.0000 13.5187
Ba Ca
2 2
direct
0.0000 0.0000 0.5000
0.0000 0.0000 0.0000
0.6667 0.3333 0.7500
0.3333 0.6667 0.2500
```

---

# 8
Ba5Ca4: optimized geometry, GGA-PBEsol.

Output
Space-group type   P6_3/mcm (193)
Energy   -0.1530 Ry per atom
Excess energy over the best structure of this formula in the dataset   0.028 eV per atom

Structure (POSCAR):
```
Ba5Ca4
1.0
-4.1898 -6.3288 -2.2067
9.5561 -4.9824 -3.8542
-3.3101 -1.5884 10.8406
Ba Ca
10 8
direct
0.0000 0.3333 0.6667
0.7500 0.0000 0.6534
0.7500 0.3466 0.3466
0.0000 0.6667 0.3333
0.2500 0.6534 0.6534
0.5000 0.3333 0.6667
0.2500 0.3466 0.0000
0.7500 0.6534 0.0000
0.5000 0.6667 0.3333
0.2500 0.0000 0.3466
0.7500 0.0000 0.3126
0.5000 0.0000 0.0000
0.7500 0.6874 0.6874
0.2500 0.0000 0.6874
0.2500 0.3126 0.3126
0.0000 0.0000 0.0000
0.2500 0.6874 0.0000
0.7500 0.3126 0.0000
```

---

# 9
Ba3Ca: optimized geometry, GGA-PBEsol.

Output
Space-group type   Fm-3m (225)
Energy   -0.1558 Ry per atom
Excess energy over the best structure of this formula in the dataset   0.007 eV per atom

Structure (POSCAR):
```
Ba3Ca
1.0
-4.4492 -0.2085 -5.0146
-1.5879 -5.8686 -2.8326
-6.0661 -2.6779 1.0081
Ba Ca
3 1
direct
0.7500 0.7500 0.7500
0.2500 0.2500 0.2500
0.5000 0.5000 0.5000
0.0000 0.0000 0.0000
```

---

# 10
BaCa: optimized geometry, GGA-PBEsol.

Output
Space-group type   Fd-3m (227)
Energy   -0.1560 Ry per atom
Excess energy over the best structure of this formula in the dataset   0.000 eV per atom

Structure (POSCAR):
```
BaCa
1.0
-2.2462 2.9791 -5.2892
-0.1528 -3.1344 -5.6611
-5.6710 -1.7863 -2.5583
Ba Ca
2 2
direct
0.5000 0.5000 0.5000
0.7500 0.7500 0.7500
0.0000 0.0000 0.0000
0.2500 0.2500 0.2500
```

---

# 11
Ba2Ca: optimized geometry, GGA-PBEsol.

Output
Space-group type   P4/mmm (123)
Energy   -0.1366 Ry per atom
Excess energy over the best structure of this formula in the dataset   0.259 eV per atom

Structure (POSCAR):
```
Ba2Ca
1.0
4.3069 0.0000 0.0000
0.0000 6.6247 0.0000
0.0000 0.0000 6.6247
Ba Ca
2 1
direct
0.5000 0.5000 0.0000
0.5000 0.0000 0.5000
0.0000 0.0000 0.0000
```

---

# 12
BaCa2: optimized geometry, GGA-PBEsol.

Output
Space-group type   I4/mmm (139)
Energy   -0.1548 Ry per atom
Excess energy over the best structure of this formula in the dataset   0.006 eV per atom

Structure (POSCAR):
```
BaCa2
1.0
4.0654 0.0000 0.0000
0.0000 4.0654 0.0000
-2.0327 -2.0327 8.4257
Ca Ba
2 1
direct
0.6746 0.6746 0.3492
0.3254 0.3254 0.6508
0.0000 0.0000 0.0000
```

---

Which formula does entry 12 have? BaCa2